18
Lattice="6.5093 0.0000 0.0000 0.0000 6.5093 0.0000 0.0000 0.0000 5.7830" Properties=species:S:1:pos:R:3 comment="Y2CdPdO5 PBE-GGA relaxed" vol_a3_per_cell=245.03 e_form_raw_ev_per_atom=-2.07 crystal_system=tetragonal pbc="T T T"
Y 1.1209 2.1337 0.0000
Y 2.1337 5.3884 0.0000
Y 4.3756 1.1209 0.0000
Y 5.3884 4.3756 0.0000
Cd 0.0000 0.0000 2.8915
Cd 3.2546 3.2546 2.8915
Pd 0.0000 3.2546 2.8915
Pd 3.2546 0.0000 2.8915
O 0.0000 0.0000 0.0000
O 0.9361 4.1908 1.4055
O 0.9361 4.1908 4.3776
O 2.3185 0.9361 1.4055
O 2.3185 0.9361 4.3776
O 3.2546 3.2546 0.0000
O 4.1908 5.5732 1.4055
O 4.1908 5.5732 4.3776
O 5.5732 2.3185 1.4055
O 5.5732 2.3185 4.3776

---

14
Lattice="6.4993 0.0000 0.0000 0.0000 5.3265 0.0000 -2.9323 0.0000 6.8297" Properties=species:S:1:pos:R:3 comment="Mn2SbPd4 PBE-GGA relaxed" vol_a3_per_cell=236.44 de_polymorph_mev_per_atom=11 e_form_raw_ev_per_atom=-0.14 n_ef_per_ev_cell=7.3 crystal_system=monoclinic pbc="T T T"
Mn 0.7613 1.3316 0.4794
Mn 0.1949 1.3316 3.5300
Mn 3.3721 3.9949 3.2997
Mn 2.8058 3.9949 6.3503
Sb 0.8422 3.9949 2.0669
Sb 2.7249 1.3316 4.7628
Pd -1.5379 2.6968 5.1074
Pd -1.5379 5.2929 5.1074
Pd 0.8787 3.9949 4.6733
Pd 2.8726 3.9949 0.4613
Pd 0.6944 1.3316 6.3684
Pd 2.6883 1.3316 2.1564
Pd 5.1049 0.0336 1.7223
Pd 5.1049 2.6297 1.7223

---

12
Lattice="3.8812 0.0000 0.0000 0.0000 11.7581 0.0000 0.0000 0.0000 3.8913" Properties=species:S:1:pos:R:3 comment="Rh5Au PBE-GGA relaxed" vol_a3_per_cell=177.58 de_polymorph_mev_per_atom=0 n_ef_per_ev_cell=20.8 formation_enthalpy_0k_ev_per_atom=0.12 crystal_system=orthorhombic pbc="T T T"
Rh 0.0000 0.0000 0.0000
Rh 0.0000 2.0226 1.9457
Rh 0.0000 3.8677 0.0000
Rh 0.0000 7.8904 0.0000
Rh 0.0000 9.7354 1.9457
Rh 1.9406 2.0114 0.0000
Rh 1.9406 3.8564 1.9457
Rh 1.9406 5.8790 0.0000
Rh 1.9406 7.9016 1.9457
Rh 1.9406 9.7467 0.0000
Au 0.0000 5.8790 1.9457
Au 1.9406 0.0000 1.9457

---

12
Lattice="3.1154 -5.3955 0.0000 3.1154 5.3955 0.0000 -2.0738 0.0000 11.7063" Properties=species:S:1:pos:R:3 comment="La2PmDy6Y3 PBE-GGA relaxed" vol_a3_per_cell=393.54 n_ef_per_ev_cell=17.1 formation_enthalpy_0k_ev_per_atom=0.02 crystal_system=monoclinic pbc="T T T"
La 3.1154 3.5986 0.0000
La 3.1154 -3.5986 0.0000
Pm 3.1154 0.0000 0.0000
Dy -0.0005 1.7953 8.7339
Dy 1.0486 0.0000 2.9726
Dy -0.0005 -1.7953 8.7339
Dy 4.1575 1.7953 2.9724
Dy 3.1084 0.0000 8.7337
Dy 4.1575 -1.7953 2.9724
Y -1.0369 0.0000 5.8532
Y 2.0785 1.7964 5.8532
Y 2.0785 -1.7964 5.8532

---

16
Lattice="9.6880 0.0000 0.0000 0.0000 6.2863 0.0000 0.0000 0.0000 4.9697" Properties=species:S:1:pos:R:3 comment="Mg4Zn3Hg PBE-GGA relaxed" vol_a3_per_cell=302.66 n_ef_per_ev_cell=4.0 formation_enthalpy_0k_ev_per_atom=-0.11 crystal_system=orthorhombic pbc="T T T"
Mg 0.0000 1.5352 0.0000
Mg 0.0000 4.7511 0.0000
Mg 2.4220 1.5368 1.9974
Mg 2.4220 4.7494 1.9974
Mg 4.8440 1.5352 0.0000
Mg 4.8440 4.7511 0.0000
Mg 7.2660 1.5368 2.9723
Mg 7.2660 4.7494 2.9723
Zn 0.0000 0.0000 2.4849
Zn 2.4220 0.0000 4.4089
Zn 2.4220 3.1431 4.4700
Zn 4.8440 0.0000 2.4849
Zn 7.2660 0.0000 0.5608
Zn 7.2660 3.1431 0.4997
Hg 0.0000 3.1431 2.4849
Hg 4.8440 3.1431 2.4849

---

4
Lattice="3.7928 0.0000 0.0000 0.0000 4.1217 0.0000 0.0000 0.0000 6.1722" Properties=species:S:1:pos:R:3 comment="BeInCl2 PBE-GGA relaxed" vol_a3_per_cell=96.49 de_polymorph_mev_per_atom=847 e_form_raw_ev_per_atom=0.10 n_ef_per_ev_cell=1.9 crystal_system=orthorhombic pbc="T T T"
Be 0.0000 0.0000 0.0000
In 1.8964 0.0000 3.0861
Cl 0.0000 2.0609 3.0861
Cl 1.8964 2.0609 0.0000

---

16
Lattice="6.9033 0.0000 0.0000 0.0000 6.9033 0.0000 0.0000 0.0000 6.9033" Properties=species:S:1:pos:R:3 comment="ZrAs2Br PBE-GGA relaxed" vol_a3_per_cell=328.98 de_polymorph_mev_per_atom=599 e_form_raw_ev_per_atom=-0.02 n_ef_per_ev_cell=20.9 crystal_system=cubic pbc="T T T"
Zr 0.0000 0.0000 0.0000
Zr 0.0000 3.4517 3.4517
Zr 3.4517 0.0000 3.4517
Zr 3.4517 3.4517 0.0000
As 0.0000 0.0000 3.4517
As 0.0000 3.4517 0.0000
As 1.7258 1.7258 1.7258
As 1.7258 5.1775 5.1775
As 3.4517 0.0000 0.0000
As 3.4517 3.4517 3.4517
As 5.1775 1.7258 5.1775
As 5.1775 5.1775 1.7258
Br 1.7258 1.7258 5.1775
Br 1.7258 5.1775 1.7258
Br 5.1775 1.7258 1.7258
Br 5.1775 5.1775 5.1775

---

16
Lattice="13.8524 0.0000 0.0000 0.0000 3.8311 0.0000 -1.9995 0.0000 5.6711" Properties=species:S:1:pos:R:3 comment="Li2SiS PBE-GGA relaxed" vol_a3_per_cell=300.97 de_polymorph_mev_per_atom=129 e_form_raw_ev_per_atom=-0.70 crystal_system=monoclinic pbc="T T T"
Li 0.0000 0.0000 0.0000
Li -0.2890 0.0000 2.8532
Li 2.0422 1.9156 1.4411
Li 4.3389 0.0000 2.0032
Li 6.9262 1.9156 0.0000
Li 6.6372 1.9156 2.8532
Li 8.9684 0.0000 1.4411
Li 11.2651 1.9156 2.0032
Si 0.8266 0.0000 5.2737
Si 1.8625 1.9156 4.5401
Si 7.7528 1.9156 5.2737
Si 8.7888 0.0000 4.5401
S -0.2848 1.9156 1.4704
S 3.6487 1.9156 3.3583
S 6.6414 0.0000 1.4704
S 10.5749 0.0000 3.3583

---

16
Lattice="7.2369 0.0000 0.0000 0.0000 7.2369 0.0000 0.0000 0.0000 4.9625" Properties=species:S:1:pos:R:3 comment="ScPd2F PBE-GGA relaxed" vol_a3_per_cell=259.90 de_polymorph_mev_per_atom=0 e_form_raw_ev_per_atom=-0.89 n_ef_per_ev_cell=3.3 crystal_system=tetragonal pbc="T T T"
Sc 0.0000 0.0000 0.0000
Sc 0.0000 3.6184 1.2406
Sc 3.6184 0.0000 3.7219
Sc 3.6184 3.6184 2.4813
Pd 1.5324 1.8092 3.1016
Pd 1.8092 5.1508 4.3422
Pd 1.8092 5.7045 1.8609
Pd 2.0861 1.8092 0.6203
Pd 5.1508 5.4276 0.6203
Pd 5.4276 1.5324 1.8609
Pd 5.4276 2.0861 4.3422
Pd 5.7045 5.4276 3.1016
F 0.0000 0.0000 2.4813
F 0.0000 3.6184 3.7219
F 3.6184 0.0000 1.2406
F 3.6184 3.6184 0.0000

---

10
Lattice="4.2890 -8.1262 0.0000 4.2890 8.1262 0.0000 0.0000 0.0000 5.1995" Properties=species:S:1:pos:R:3 comment="Ho2Tm7In PBE-GGA relaxed" vol_a3_per_cell=362.44 n_ef_per_ev_cell=9.2 formation_enthalpy_0k_ev_per_atom=0.61 crystal_system=orthorhombic pbc="T T T"
Ho 4.2890 4.7572 0.0000
Ho 4.2890 -4.7572 0.0000
Tm 0.0000 0.0000 0.0000
Tm 2.7673 1.7049 0.0000
Tm 4.2890 3.1867 2.5998
Tm 2.7673 -1.7049 0.0000
Tm 5.8107 1.7049 0.0000
Tm 4.2890 -3.1867 2.5998
Tm 5.8107 -1.7049 0.0000
In 4.2890 0.0000 2.5998

---

8
Lattice="4.6533 0.0000 0.0000 0.0000 4.6533 0.0000 0.0000 0.0000 8.0897" Properties=species:S:1:pos:R:3 comment="CaYSi2 PBE-GGA relaxed" vol_a3_per_cell=175.16 de_polymorph_mev_per_atom=306 e_form_raw_ev_per_atom=-0.35 n_ef_per_ev_cell=4.3 crystal_system=tetragonal pbc="T T T"
Ca 0.0000 0.0000 0.0000
Ca 2.3266 2.3266 4.0448
Y 0.0000 0.0000 4.0448
Y 2.3266 2.3266 0.0000
Si 0.0000 2.3266 2.0224
Si 0.0000 2.3266 6.0673
Si 2.3266 0.0000 2.0224
Si 2.3266 0.0000 6.0673

---

3
Lattice="3.8479 0.0000 0.0000 -1.9239 3.3323 0.0000 0.0000 0.0000 4.8057" Properties=species:S:1:pos:R:3 comment="NaCoOs PBE-GGA relaxed" vol_a3_per_cell=61.62 de_polymorph_mev_per_atom=600 n_ef_per_ev_cell=2.0 formation_enthalpy_0k_ev_per_atom=1.03 crystal_system=hexagonal pbc="T T T"
Na 0.0000 0.0000 0.0000
Co 0.0000 2.2216 2.4028
Os 1.9239 1.1108 2.4028